First-principles (SCAN) data for a PBEsol-optimized structure of Be2AgPd2, as listed in Alexandria.

POSCAR file:
```
Be2AgPd2
1.0
2.7747 0.0000 0.0000
0.0000 6.6221 0.0000
0.0000 0.0000 6.6221
Be Pd Ag
4 4 2
Direct
0.0000 0.6317 0.1317
0.0000 0.1317 0.3683
0.0000 0.3683 0.8683
0.0000 0.8683 0.6317
0.5000 0.8415 0.3415
0.5000 0.3415 0.1585
0.5000 0.1585 0.6585
0.5000 0.6585 0.8415
0.0000 0.5000 0.5000
0.0000 0.0000 0.0000
```

## Properties
As for the calculated density: 9.2 g/cm³. The space group is P4/mbm (127). The value obtained for the total energy is -21.59 eV per atom. Its total moment is 0.00 μB/cell. The formation energy comes out at -44.8 kJ per mole of atoms.